Nd2GaAu3 | PBE | optimized geometry

The crystal system is orthorhombic. The calculation puts the total DFT energy (no corrections) at -4.51 eV/atom. The value obtained for the calculated volume is 23.195 Å³ per atom.

The space group is Pmm2 (No. 25) and the conventional cell measures 3.655, 4.646 and 8.195 Å, with angles of 90.00, 90.00 and 90.00 degrees. The distinct sites, in fractional coordinates, are Nd at (0.000, 0.000, 0.000), Nd at (0.000, 0.500, 0.484), Ga at (0.500, 0.500, 0.818), Au at (0.500, 0.000, 0.332), Au at (0.500, 0.000, 0.674) and Au at (0.500, 0.500, 0.140).